(1)
Crystalline Pm6SiSb2 at its relaxed geometry, computed with PBE-GGA.

The space group is P-62m (No. 189) and the conventional cell measures 8.4239, 8.4239 and 4.3183 Å, with angles of 90.00, 90.00 and 120.00 degrees. Symmetry generates all atoms from Pm at (0.0000, 0.2453, 0.0000), Pm at (0.0000, 0.5906, 0.5000), Si at (0.0000, 0.0000, 0.5000) and Sb at (0.3333, 0.6667, 0.0000).

The volume comes out at 265.4 Å³/cell. Its density of states at the Fermi level is 1.295 states/eV/atom. As for the formation energy from raw total energies: -729.3 meV per atom. For the total energy, the calculation gives -5.415 eV per atom.

=====

(2)
Crystalline CdInPd5 at its relaxed geometry, computed with PBE-GGA.

The space group is Cmcm (No. 63) and the conventional cell measures 7.821, 5.726 and 11.090 Å, with angles of 90.00, 90.00 and 90.00 degrees. Symmetry generates all atoms from Cd at (0.000, 0.000, 0.000), In at (0.000, 0.400, 0.250), Pd at (0.000, 0.061, 0.750) and Pd at (0.223, 0.331, 0.618).

The volume comes out at 496.6 Å³/cell. Its density of states at the Fermi level is 0.568 states/eV/atom. Its energy above the most stable polymorph in this dataset is 0 meV per atom. For the total energy, the calculation gives -4.493 eV per atom.

=====

(3)
Crystalline Np2Be3Si4Ni at its relaxed geometry, computed with PBE-GGA.

The space group is P-4m2 (No. 115) and the conventional cell measures 3.878, 3.878 and 9.453 Å, with angles of 90.00, 90.00 and 90.00 degrees. Symmetry generates all atoms from Np at (0.000, 0.500, 0.246), Be at (0.000, 0.500, 0.868), Be at (0.500, 0.500, 0.500), Si at (0.000, 0.000, 0.000), Si at (0.000, 0.500, 0.632), Si at (0.500, 0.500, 0.000) and Ni at (0.000, 0.000, 0.500).

The volume comes out at 142.2 Å³/cell. Its density of states at the Fermi level is 0.934 states/eV/atom. As for the formation energy from raw total energies: -302.0 meV per atom. For the total energy, the calculation gives -6.755 eV per atom.

=====

(4)
Crystalline Zn2Ir at its relaxed geometry, computed with PBE-GGA.

The space group is P-3m1 (No. 164) and the conventional cell measures 2.8158, 2.8158 and 6.3661 Å, with angles of 90.00, 90.00 and 120.00 degrees. Symmetry generates all atoms from Zn at (0.3333, 0.6667, 0.1716) and Ir at (0.0000, 0.0000, 0.5000).

The volume comes out at 43.7 Å³/cell. Its density of states at the Fermi level is 0.470 states/eV/atom. For the total energy, the calculation gives -3.879 eV per atom.